VASP calculation (GGA-PBE) on an optimized crystal structure of MgTlInHg.

a b c (Å): 3.3561 3.3561 9.1456
angles (deg): 90.00 90.00 90.00
Sites, in units of the cell vectors:
Mg: 0.0000 0.0000 0.5588
Tl: 0.0000 0.0000 0.0804
In: 0.5000 0.5000 0.7904
Hg: 0.5000 0.5000 0.3552

Results
- ΔE_f (eV per formula unit) = -0.2
- energy relative to the lowest polymorph listed for this composition (meV per atom) = 0
- calculated volume (Å³/atom) = 25.75